[1]
# GGA-PBE HgPb2F, relaxed
data_HgPb2F
_chemical_formula_sum 'Hg4 Pb8 F4'
_cell_length_a 7.2435
_cell_length_b 7.2435
_cell_length_c 7.2435
_cell_angle_alpha 90.00
_cell_angle_beta 90.00
_cell_angle_gamma 90.00
_symmetry_space_group_name_H-M 'P 1'
_symmetry_Int_Tables_number 1
loop_
_symmetry_equiv_pos_as_xyz
'x,y,z'
loop_
_atom_site_label
_atom_site_type_symbol
_atom_site_fract_x
_atom_site_fract_y
_atom_site_fract_z
Hg1 Hg 0.0000 0.0000 0.0000
Hg2 Hg 0.0000 0.5000 0.5000
Hg3 Hg 0.5000 0.0000 0.5000
Hg4 Hg 0.5000 0.5000 0.0000
Pb1 Pb 0.2500 0.2500 0.2500
Pb2 Pb 0.2500 0.2500 0.7500
Pb3 Pb 0.2500 0.7500 0.2500
Pb4 Pb 0.2500 0.7500 0.7500
Pb5 Pb 0.7500 0.2500 0.2500
Pb6 Pb 0.7500 0.2500 0.7500
Pb7 Pb 0.7500 0.7500 0.2500
Pb8 Pb 0.7500 0.7500 0.7500
F1 F 0.0000 0.0000 0.5000
F2 F 0.0000 0.5000 0.0000
F3 F 0.5000 0.0000 0.0000
F4 F 0.5000 0.5000 0.5000
# Raw formation energy = -0.580 eV per atom
# Symmetry = Fm-3m, No. 225
# Excess energy over the best structure of this formula in the dataset = 41 meV/atom
# Volume = 95.0 Å³/f.u.
# E = -2.9774 eV/atom



[2]
# GGA-PBE HgPbF5, relaxed
data_HgPbF5
_chemical_formula_sum 'Hg2 Pb2 F10'
_cell_length_a 6.0942
_cell_length_b 6.0942
_cell_length_c 8.0970
_cell_angle_alpha 108.81
_cell_angle_beta 108.81
_cell_angle_gamma 74.66
_symmetry_space_group_name_H-M 'P 1'
_symmetry_Int_Tables_number 1
loop_
_symmetry_equiv_pos_as_xyz
'x,y,z'
loop_
_atom_site_label
_atom_site_type_symbol
_atom_site_fract_x
_atom_site_fract_y
_atom_site_fract_z
Hg1 Hg 0.0000 0.0000 0.0000
Hg2 Hg 0.0000 0.0000 0.5000
Pb1 Pb 0.4608 0.5392 0.7500
Pb2 Pb 0.5392 0.4608 0.2500
F1 F 0.1423 0.8577 0.7500
F2 F 0.2178 0.2821 0.6325
F3 F 0.2821 0.2178 0.1325
F4 F 0.3190 0.6664 0.0396
F5 F 0.3336 0.6810 0.4604
F6 F 0.6664 0.3190 0.5396
F7 F 0.6810 0.3336 0.9604
F8 F 0.7179 0.7822 0.8675
F9 F 0.7822 0.7179 0.3675
F10 F 0.8577 0.1423 0.2500
# Raw formation energy = -1.770 eV per atom
# Symmetry = C2/c, No. 15
# Volume = 132.5 Å³/f.u.
# E = -3.6797 eV/atom



[3]
# GGA-PBE Hg2PbF6, relaxed
data_Hg2PbF6
_chemical_formula_sum 'Hg2 Pb1 F6'
_cell_length_a 6.5376
_cell_length_b 6.5376
_cell_length_c 7.8166
_cell_angle_alpha 122.45
_cell_angle_beta 122.45
_cell_angle_gamma 39.09
_symmetry_space_group_name_H-M 'P 1'
_symmetry_Int_Tables_number 1
loop_
_symmetry_equiv_pos_as_xyz
'x,y,z'
loop_
_atom_site_label
_atom_site_type_symbol
_atom_site_fract_x
_atom_site_fract_y
_atom_site_fract_z
Hg1 Hg 0.1791 0.1791 0.1225
Hg2 Hg 0.8209 0.8209 0.8775
Pb1 Pb 0.0000 0.0000 0.5000
F1 F 0.0141 0.0141 0.1917
F2 F 0.2363 0.2363 0.8561
F3 F 0.3673 0.3673 0.4340
F4 F 0.6327 0.6327 0.5660
F5 F 0.7637 0.7637 0.1439
F6 F 0.9859 0.9859 0.8083
# Raw formation energy = -1.743 eV per atom
# Symmetry = C2/m, No. 12
# Excess energy over the best structure of this formula in the dataset = 0 meV/atom
# Volume = 173.2 Å³/f.u.
# E = -3.4701 eV/atom



[4]
# GGA-PBE Hg2PbF6, relaxed
data_Hg2PbF6
_chemical_formula_sum 'Hg2 Pb1 F6'
_cell_length_a 6.1517
_cell_length_b 6.1517
_cell_length_c 5.0590
_cell_angle_alpha 90.00
_cell_angle_beta 90.00
_cell_angle_gamma 120.00
_symmetry_space_group_name_H-M 'P 1'
_symmetry_Int_Tables_number 1
loop_
_symmetry_equiv_pos_as_xyz
'x,y,z'
loop_
_atom_site_label
_atom_site_type_symbol
_atom_site_fract_x
_atom_site_fract_y
_atom_site_fract_z
Hg1 Hg 0.3333 0.6667 0.0000
Hg2 Hg 0.6667 0.3333 0.0000
Pb1 Pb 0.0000 0.0000 0.5000
F1 F 0.0000 0.3371 0.7680
F2 F 0.0000 0.6629 0.2320
F3 F 0.3371 0.0000 0.7680
F4 F 0.3371 0.3371 0.2320
F5 F 0.6629 0.0000 0.2320
F6 F 0.6629 0.6629 0.7680
# Raw formation energy = -1.738 eV per atom
# Symmetry = P-31m, No. 162
# Excess energy over the best structure of this formula in the dataset = 6 meV/atom
# Volume = 165.8 Å³/f.u.
# E = -3.4644 eV/atom



[5]
# GGA-PBE HgPb2F11, relaxed
data_HgPb2F11
_chemical_formula_sum 'Hg2 Pb4 F22'
_cell_length_a 8.6128
_cell_length_b 8.6128
_cell_length_c 8.6128
_cell_angle_alpha 122.00
_cell_angle_beta 105.83
_cell_angle_gamma 101.39
_symmetry_space_group_name_H-M 'P 1'
_symmetry_Int_Tables_number 1
loop_
_symmetry_equiv_pos_as_xyz
'x,y,z'
loop_
_atom_site_label
_atom_site_type_symbol
_atom_site_fract_x
_atom_site_fract_y
_atom_site_fract_z
Hg1 Hg 0.2500 0.2500 0.0000
Hg2 Hg 0.7500 0.7500 0.0000
Pb1 Pb 0.1980 0.6673 0.8653
Pb2 Pb 0.3020 0.1673 0.4692
Pb3 Pb 0.6980 0.8327 0.5308
Pb4 Pb 0.8020 0.3327 0.1347
F1 F 0.0000 0.5000 0.5000
F2 F 0.0342 0.9674 0.2807
F3 F 0.0513 0.3650 0.1494
F4 F 0.1868 0.4674 0.9332
F5 F 0.1876 0.3984 0.5859
F6 F 0.2157 0.9020 0.8506
F7 F 0.2843 0.1350 0.6863
F8 F 0.3124 0.8984 0.2108
F9 F 0.3132 0.2465 0.2807
F10 F 0.4487 0.5980 0.3137
F11 F 0.4658 0.7465 0.9332
F12 F 0.5000 0.0000 0.5000
F13 F 0.5342 0.2535 0.0668
F14 F 0.5513 0.4020 0.6863
F15 F 0.6868 0.7535 0.7193
F16 F 0.6876 0.1016 0.7892
F17 F 0.7157 0.8650 0.3137
F18 F 0.7843 0.0980 0.1494
F19 F 0.8124 0.6016 0.4141
F20 F 0.8132 0.5326 0.0668
F21 F 0.9487 0.6350 0.8506
F22 F 0.9658 0.0326 0.7193
# Raw formation energy = -1.580 eV per atom
# Symmetry = Ibam, No. 72
# Volume = 236.7 Å³/f.u.
# E = -3.6018 eV/atom



[6]
# GGA-PBE Hg3PbF8, relaxed
data_Hg3PbF8
_chemical_formula_sum 'Hg3 Pb1 F8'
_cell_length_a 8.0410
_cell_length_b 8.0410
_cell_length_c 7.9139
_cell_angle_alpha 108.90
_cell_angle_beta 108.90
_cell_angle_gamma 32.94
_symmetry_space_group_name_H-M 'P 1'
_symmetry_Int_Tables_number 1
loop_
_symmetry_equiv_pos_as_xyz
'x,y,z'
loop_
_atom_site_label
_atom_site_type_symbol
_atom_site_fract_x
_atom_site_fract_y
_atom_site_fract_z
Hg1 Hg 0.0000 0.0000 0.0000
Hg2 Hg 0.0771 0.0771 0.5758
Hg3 Hg 0.7870 0.7870 0.5930
Pb1 Pb 0.7005 0.7005 0.9989
F1 F 0.1478 0.1478 0.9372
F2 F 0.2253 0.2253 0.5800
F3 F 0.5480 0.5480 0.0134
F4 F 0.6248 0.6248 0.6661
F5 F 0.7636 0.7636 0.3158
F6 F 0.8343 0.8343 0.8847
F7 F 0.9601 0.9601 0.6884
F8 F 0.9988 0.9988 0.2765
# Raw formation energy = -1.631 eV per atom
# Symmetry = Cm, No. 8
# Volume = 261.9 Å³/f.u.
# E = -3.2630 eV/atom



[7]
# GGA-PBE HgPb2F8, relaxed
data_HgPb2F8
_chemical_formula_sum 'Hg1 Pb2 F8'
_cell_length_a 7.2740
_cell_length_b 7.2740
_cell_length_c 4.5466
_cell_angle_alpha 90.00
_cell_angle_beta 90.00
_cell_angle_gamma 120.00
_symmetry_space_group_name_H-M 'P 1'
_symmetry_Int_Tables_number 1
loop_
_symmetry_equiv_pos_as_xyz
'x,y,z'
loop_
_atom_site_label
_atom_site_type_symbol
_atom_site_fract_x
_atom_site_fract_y
_atom_site_fract_z
Hg1 Hg 0.0000 0.0000 0.0000
Pb1 Pb 0.3333 0.6667 0.2520
Pb2 Pb 0.6667 0.3333 0.7480
F1 F 0.1589 0.8385 0.2435
F2 F 0.1615 0.3204 0.2435
F3 F 0.3204 0.1589 0.7565
F4 F 0.3333 0.6667 0.7522
F5 F 0.6667 0.3333 0.2478
F6 F 0.6796 0.8411 0.2435
F7 F 0.8385 0.6796 0.7565
F8 F 0.8411 0.1615 0.7565
# Raw formation energy = -1.798 eV per atom
# Symmetry = P-3, No. 147
# Excess energy over the best structure of this formula in the dataset = 65 meV/atom
# Volume = 208.3 Å³/f.u.
# E = -3.8606 eV/atom



[8]
# GGA-PBE HgPb2F8, relaxed
data_HgPb2F8
_chemical_formula_sum 'Hg1 Pb2 F8'
_cell_length_a 6.2451
_cell_length_b 6.2451
_cell_length_c 5.1663
_cell_angle_alpha 100.85
_cell_angle_beta 100.85
_cell_angle_gamma 72.26
_symmetry_space_group_name_H-M 'P 1'
_symmetry_Int_Tables_number 1
loop_
_symmetry_equiv_pos_as_xyz
'x,y,z'
loop_
_atom_site_label
_atom_site_type_symbol
_atom_site_fract_x
_atom_site_fract_y
_atom_site_fract_z
Hg1 Hg 0.0000 0.0000 0.0000
Pb1 Pb 0.3226 0.3226 0.5680
Pb2 Pb 0.6774 0.6774 0.4320
F1 F 0.0463 0.6618 0.6821
F2 F 0.1842 0.1842 0.8455
F3 F 0.3382 0.9537 0.3179
F4 F 0.4447 0.4447 0.2460
F5 F 0.5553 0.5553 0.7540
F6 F 0.6618 0.0463 0.6821
F7 F 0.8158 0.8158 0.1545
F8 F 0.9537 0.3382 0.3179
# Raw formation energy = -1.863 eV per atom
# Symmetry = C2/m, No. 12
# Excess energy over the best structure of this formula in the dataset = 0 meV/atom
# Volume = 186.6 Å³/f.u.
# E = -3.9256 eV/atom



[9]
# GGA-PBE HgPbF2, relaxed
data_HgPbF2
_chemical_formula_sum 'Hg3 Pb3 F6'
_cell_length_a 3.9713
_cell_length_b 3.9713
_cell_length_c 26.6515
_cell_angle_alpha 90.00
_cell_angle_beta 90.00
_cell_angle_gamma 120.00
_symmetry_space_group_name_H-M 'P 1'
_symmetry_Int_Tables_number 1
loop_
_symmetry_equiv_pos_as_xyz
'x,y,z'
loop_
_atom_site_label
_atom_site_type_symbol
_atom_site_fract_x
_atom_site_fract_y
_atom_site_fract_z
Hg1 Hg 0.0000 0.0000 0.0000
Hg2 Hg 0.3333 0.6667 0.6667
Hg3 Hg 0.6667 0.3333 0.3333
Pb1 Pb 0.0000 0.0000 0.5000
Pb2 Pb 0.3333 0.6667 0.1667
Pb3 Pb 0.6667 0.3333 0.8333
F1 F 0.0000 0.0000 0.1290
F2 F 0.0000 0.0000 0.8710
F3 F 0.3333 0.6667 0.5377
F4 F 0.3333 0.6667 0.7957
F5 F 0.6667 0.3333 0.2043
F6 F 0.6667 0.3333 0.4623
# Raw formation energy = -1.676 eV per atom
# Symmetry = R-3m, No. 166
# Excess energy over the best structure of this formula in the dataset = 0 meV/atom
# Volume = 121.3 Å³/f.u.
# E = -3.6140 eV/atom



[10]
# GGA-PBE HgPbF2, relaxed
data_HgPbF2
_chemical_formula_sum 'Hg4 Pb4 F8'
_cell_length_a 6.7953
_cell_length_b 6.7953
_cell_length_c 11.9845
_cell_angle_alpha 90.00
_cell_angle_beta 90.00
_cell_angle_gamma 90.00
_symmetry_space_group_name_H-M 'P 1'
_symmetry_Int_Tables_number 1
loop_
_symmetry_equiv_pos_as_xyz
'x,y,z'
loop_
_atom_site_label
_atom_site_type_symbol
_atom_site_fract_x
_atom_site_fract_y
_atom_site_fract_z
Hg1 Hg 0.0000 0.0000 0.0000
Hg2 Hg 0.0000 0.5000 0.2500
Hg3 Hg 0.5000 0.0000 0.7500
Hg4 Hg 0.5000 0.5000 0.5000
Pb1 Pb 0.0000 0.0000 0.5000
Pb2 Pb 0.0000 0.5000 0.7500
Pb3 Pb 0.5000 0.0000 0.2500
Pb4 Pb 0.5000 0.5000 0.0000
F1 F 0.0814 0.2500 0.6250
F2 F 0.2500 0.5814 0.8750
F3 F 0.2500 0.9186 0.3750
F4 F 0.4186 0.2500 0.1250
F5 F 0.5814 0.7500 0.1250
F6 F 0.7500 0.0814 0.3750
F7 F 0.7500 0.4186 0.8750
F8 F 0.9186 0.7500 0.6250
# Raw formation energy = -1.621 eV per atom
# Symmetry = I-42d, No. 122
# Excess energy over the best structure of this formula in the dataset = 55 meV/atom
# Volume = 138.3 Å³/f.u.
# E = -3.5591 eV/atom



[11]
# GGA-PBE HgPbF2, relaxed
data_HgPbF2
_chemical_formula_sum 'Hg3 Pb3 F6'
_cell_length_a 3.3905
_cell_length_b 3.3905
_cell_length_c 24.7442
_cell_angle_alpha 90.00
_cell_angle_beta 90.00
_cell_angle_gamma 120.00
_symmetry_space_group_name_H-M 'P 1'
_symmetry_Int_Tables_number 1
loop_
_symmetry_equiv_pos_as_xyz
'x,y,z'
loop_
_atom_site_label
_atom_site_type_symbol
_atom_site_fract_x
_atom_site_fract_y
_atom_site_fract_z
Hg1 Hg 0.0000 0.0000 0.0000
Hg2 Hg 0.3333 0.6667 0.6667
Hg3 Hg 0.6667 0.3333 0.3333
Pb1 Pb 0.0000 0.0000 0.5000
Pb2 Pb 0.3333 0.6667 0.1667
Pb3 Pb 0.6667 0.3333 0.8333
F1 F 0.0000 0.0000 0.4056
F2 F 0.0000 0.0000 0.5944
F3 F 0.3333 0.6667 0.0723
F4 F 0.3333 0.6667 0.2611
F5 F 0.6667 0.3333 0.7389
F6 F 0.6667 0.3333 0.9277
# Raw formation energy = -1.214 eV per atom
# Symmetry = R-3m, No. 166
# Excess energy over the best structure of this formula in the dataset = 462 meV/atom
# Volume = 82.1 Å³/f.u.
# E = -3.1524 eV/atom



[12]
# GGA-PBE Hg2Pb2F, relaxed
data_Hg2Pb2F
_chemical_formula_sum 'Hg4 Pb4 F2'
_cell_length_a 7.0848
_cell_length_b 7.0848
_cell_length_c 5.3021
_cell_angle_alpha 90.00
_cell_angle_beta 90.00
_cell_angle_gamma 90.00
_symmetry_space_group_name_H-M 'P 1'
_symmetry_Int_Tables_number 1
loop_
_symmetry_equiv_pos_as_xyz
'x,y,z'
loop_
_atom_site_label
_atom_site_type_symbol
_atom_site_fract_x
_atom_site_fract_y
_atom_site_fract_z
Hg1 Hg 0.1574 0.3426 0.0000
Hg2 Hg 0.3426 0.8426 0.0000
Hg3 Hg 0.6574 0.1574 0.0000
Hg4 Hg 0.8426 0.6574 0.0000
Pb1 Pb 0.1738 0.6738 0.5000
Pb2 Pb 0.3262 0.1738 0.5000
Pb3 Pb 0.6738 0.8262 0.5000
Pb4 Pb 0.8262 0.3262 0.5000
F1 F 0.0000 0.0000 0.5000
F2 F 0.5000 0.5000 0.5000
# Raw formation energy = -0.558 eV per atom
# Symmetry = P4/mbm, No. 127
# Volume = 133.1 Å³/f.u.
# E = -2.5366 eV/atom